The following is a DFT calculation (PBE) of a relaxed structure of CePm2Dy8. Values from VASP.

Properties
M_tot	1.10	μB/cell
final energy	-4.71	eV/atom
DFT formation energy	0.0385	eV per atom
symmetry	C2/m

Cell and atoms, written as Quantum ESPRESSO input:
```
&SYSTEM
  ibrav = 0, nat = 11, ntyp = 3
/
ATOMIC_SPECIES
Ce 140.12 Ce.upf
Dy 162.50 Dy.upf
Pm 145.00 Pm.upf
CELL_PARAMETERS angstrom
-1.8199 -4.6818 0.3959
2.6828 -1.6613 -7.3133
7.7223 0.1657 5.3940
ATOMIC_POSITIONS crystal
Ce 0.5000 0.0000 0.0000
Dy 0.5897 0.4531 0.1795
Dy 0.9556 0.2694 0.9113
Pm 0.2284 0.6373 0.4568
Dy 0.8650 0.8218 0.7300
Pm 0.7716 0.3627 0.5432
Dy 0.1350 0.1782 0.2700
Dy 0.6799 0.9071 0.3598
Dy 0.3201 0.0929 0.6402
Dy 0.4103 0.5469 0.8205
Dy 0.0444 0.7306 0.0887
```